Here is a relaxed Li2CrH8Cl5O4 crystal from the Alexandria database. Energies are from GGA+U.

* SG: No. 15
* calculated volume: 16.4 Å³/atom
* raw total energy: -4.567 eV per atom
* size of the total moment: 2.90 μB/f.u.

Unit cell a=8.6771 b=8.6771 c=13.5014 alpha=71.83 beta=71.83 gamma=43.34
With the nearest neighbours (Å) after each atom.
Positions (direct):
1 O 0.3096 0.7412 0.0476  2 H 1.00
2 O 0.2143 0.9277 0.5811  2 H 0.99-1.00
3 O 0.2588 0.6904 0.4524  2 H 1.00
4 O 0.0723 0.7857 0.9189  2 H 0.99-1.00
5 O 0.9277 0.2143 0.0811  2 H 0.99-1.00
6 O 0.6904 0.2588 0.9524  2 H 1.00
7 O 0.7412 0.3096 0.5476  2 H 1.00
8 O 0.7857 0.0723 0.4189  2 H 0.99-1.00
9 Cl 0.5194 0.4806 0.2500  4 H 2.09
10 Cl 0.4806 0.5194 0.7500  4 H 2.09
11 Cl 0.2838 0.3054 0.5273  2 H 2.04-2.25
12 Cl 0.1445 0.1126 0.8505  1 Li 2.35, 1 Cr 2.36
13 Cl 0.1126 0.1445 0.3505  1 Li 2.35, 1 Cr 2.36
14 Cl 0.3054 0.2838 0.0272  2 H 2.04-2.25
15 Cl 0.8874 0.8555 0.6495  1 Li 2.35, 1 Cr 2.36
16 Cl 0.6946 0.7162 0.9728  2 H 2.04-2.25
17 Cl 0.8555 0.8874 0.1495  1 Li 2.35, 1 Cr 2.36
18 Cl 0.7162 0.6946 0.4727  2 H 2.04-2.25
19 Cr 0.0000 0.0000 0.0000  4 O 2.02-2.05
20 Cr 0.0000 0.0000 0.5000  4 O 2.02-2.05
21 Li 0.9130 0.5997 0.5999  3 Cl 2.33-2.35
22 Li 0.5997 0.9130 0.0999  3 Cl 2.33-2.35
23 Li 0.0870 0.4003 0.4001  3 Cl 2.33-2.35
24 Li 0.4003 0.0870 0.9001  3 Cl 2.33-2.35
25 H 0.6651 0.3263 0.8776  1 O 1.00
26 H 0.1972 0.7253 0.8587  1 O 1.00
27 H 0.8891 0.3513 0.0370  1 O 0.99
28 H 0.1109 0.6487 0.9630  1 O 0.99
29 H 0.3263 0.6651 0.3776  1 O 1.00
30 H 0.2623 0.5673 0.4843  1 O 1.00
31 H 0.5673 0.2623 0.9843  1 O 1.00
32 H 0.7253 0.1972 0.3587  1 O 1.00
33 H 0.7377 0.4327 0.5157  1 O 1.00
34 H 0.2747 0.8028 0.6413  1 O 1.00
35 H 0.6737 0.3349 0.6224  1 O 1.00
36 H 0.6487 0.1109 0.4630  1 O 0.99
37 H 0.3513 0.8891 0.5370  1 O 0.99
38 H 0.3349 0.6737 0.1224  1 O 1.00
39 H 0.8028 0.2747 0.1413  1 O 1.00
40 H 0.4327 0.7377 0.0157  1 O 1.00